A plane-wave DFT calculation with PBE-GGA was carried out for crystalline Zr2Bi2Sb at its relaxed geometry.

abc: 8.402 8.402 3.786
angles: 90.00 90.00 90.00
Space group P4/mbm (No. 127)
Unique sites:
1 Zr 0.145 0.355 0.000 (multiplicity 4)
2 Bi 0.148 0.648 0.500 (multiplicity 4)
3 Sb 0.000 0.000 0.500 (multiplicity 2)

Formation energy without anion corrections = -1 meV per atom
Crystal system = tetragonal
Size of the total moment = 0.000 μB/f.u.